! LiTmSiO4 (PBE, optimized geometry); values from VASP
&SYSTEM
  ibrav = 0, nat = 28, ntyp = 4
/
ATOMIC_SPECIES
Li 6.94 Li.upf
Tm 168.93 Tm.upf
Si 28.09 Si.upf
O 16.00 O.upf
CELL_PARAMETERS angstrom
10.6965 0.0000 0.0000
0.0000 6.2097 0.0000
0.0000 0.0000 4.8711
ATOMIC_POSITIONS angstrom
Li 0.0000 0.0000 0.0000
Li 0.0000 3.1048 0.0000
Li 5.3482 0.0000 2.4355
Li 5.3482 3.1048 2.4355
Tm 2.3896 1.5524 2.3058
Tm 2.9586 4.6573 4.7414
Tm 7.7379 1.5524 0.1297
Tm 8.3069 4.6573 2.5653
Si 0.9151 4.6573 2.0097
Si 4.4332 1.5524 4.4452
Si 6.2633 4.6573 0.4259
Si 9.7814 1.5524 2.8614
O 0.5767 1.5524 3.5158
O 1.0064 4.6573 3.6227
O 1.7254 3.3812 1.3037
O 1.7254 5.9333 1.3037
O 3.6228 0.2764 3.7393
O 3.6228 2.8285 3.7393
O 4.3418 1.5524 1.1872
O 4.7716 4.6573 1.0802
O 5.9249 1.5524 3.7908
O 6.3546 4.6573 3.6839
O 7.0737 3.3812 1.1318
O 7.0737 5.9333 1.1318
O 8.9710 0.2764 3.5673
O 8.9710 2.8285 3.5673
O 9.6901 1.5524 1.2484
O 10.1198 4.6573 1.3553
! Uncorrected energy ... -7.557 eV/atom
! SG ... Pnma
! Total magnetic moment ... 0.00 Bohr magnetons per cell